VASP calculation (PBE) on crystalline Pr2Zn2FeRh5 at its relaxed geometry.

Output
D(E_F) ... 10.157 states/eV per cell
Energy of formation from the pure elements ... -0.37 eV per atom
Magnetization ... 0.442 μB/atom

```
data_Pr2Zn2FeRh5
_symmetry_space_group_name_H-M 'P 4/m b m'
_symmetry_Int_Tables_number 127
_symmetry_space_group_name_Hall '-P 4 2ab'
_cell_length_a 9.9205
_cell_length_b 9.9205
_cell_length_c 3.5309
_cell_angle_alpha 90.00
_cell_angle_beta 90.00
_cell_angle_gamma 90.00
loop_
_atom_site_label
_atom_site_type_symbol
_atom_site_fract_x
_atom_site_fract_y
_atom_site_fract_z
Pr1 Pr 0.1741 0.3259 0.0000
Zn1 Zn 0.1258 0.6258 0.0000
Fe1 Fe 0.0000 0.0000 0.0000
Rh1 Rh 0.0000 0.5000 0.5000
Rh2 Rh 0.0603 0.8032 0.5000
```